# PBE Na5Li2Hg4, relaxed
# M_tot = 0.00 μB per atom
data_Na5Li2Hg4
_chemical_formula_sum 'Na5 Li2 Hg4'
_symmetry_space_group_name_H-M 'P 1'
_symmetry_Int_Tables_number 1
_symmetry_space_group_name_Hall 'P 1'
_cell_length_a 8.242
_cell_length_b 3.323
_cell_length_c 9.988
_cell_angle_alpha 90.00
_cell_angle_beta 95.97
_cell_angle_gamma 90.00
loop_
_atom_site_label
_atom_site_fract_x
_atom_site_fract_y
_atom_site_fract_z
_atom_site_occupancy
Na1 0.000 0.000 0.000 1
Na2 0.036 0.000 0.342 1
Na3 0.357 0.000 0.864 1
Na4 0.643 0.000 0.136 1
Na5 0.964 0.000 0.658 1
Li1 0.419 0.000 0.369 1
Li2 0.581 0.000 0.631 1
Hg1 0.291 0.500 0.572 1
Hg2 0.298 0.500 0.150 1
Hg3 0.702 0.500 0.850 1
Hg4 0.709 0.500 0.428 1

***

# PBE Ag2BrCl, relaxed
# energy relative to the elements, uncorrected = -0.352 eV/atom
# M_tot = 0.00 μB per atom
data_Ag2BrCl
_chemical_formula_sum 'Ag2 Br1 Cl1'
_symmetry_space_group_name_H-M 'P 1'
_symmetry_Int_Tables_number 1
_symmetry_space_group_name_Hall 'P 1'
_cell_length_a 4.373
_cell_length_b 5.265
_cell_length_c 4.382
_cell_angle_alpha 90.00
_cell_angle_beta 103.58
_cell_angle_gamma 90.00
loop_
_atom_site_label
_atom_site_fract_x
_atom_site_fract_y
_atom_site_fract_z
_atom_site_occupancy
Ag1 0.000 0.000 0.000 1
Ag2 0.231 0.500 0.764 1
Br1 0.404 0.000 0.595 1
Cl1 0.847 0.500 0.151 1

***

Number 1: distance to the lowest polymorph of the same formula 0.00 eV per formula unit, final energy -0.0467 hartree per atom. Number 2: distance to the lowest polymorph of the same formula 0.15 eV per formula unit, final energy -0.0977 hartree per atom.